A plane-wave DFT calculation with PBEsol was carried out for a relaxed VNiGe crystal.

## Properties
Energy of formation: -0.39 eV/atom
Crystal system: orthorhombic
E: -7.30 eV per atom
Total moment: 0.01 μB per cell
Density of states at the Fermi level: 11.2 states/eV per cell

Lattice parameters (Å, degrees): 3.601 5.997 7.004 90.00 90.00 90.00
Fractional positions:
V1 0.750 0.971 0.831
V2 0.750 0.471 0.669
V3 0.250 0.029 0.169
V4 0.250 0.529 0.331
Ni1 0.750 0.853 0.442
Ni2 0.750 0.353 0.058
Ni3 0.250 0.147 0.558
Ni4 0.250 0.647 0.942
Ge1 0.750 0.235 0.370
Ge2 0.750 0.735 0.130
Ge3 0.250 0.765 0.630
Ge4 0.250 0.265 0.870

=====

A plane-wave DFT calculation with PBEsol was carried out for a relaxed ScCo4Ru crystal.

## Properties
Energy of formation: -0.11 eV/atom
Crystal system: cubic
E: -8.06 eV per atom
Total moment: 7.19 μB per cell
Density of states at the Fermi level: 5.1 states/eV per cell

Lattice parameters (Å, degrees): 4.710 4.710 4.710 60.00 60.00 60.00
Site moments in Bohr magnetons follow the coordinates.
Fractional positions:
Sc1 0.000 0.000 0.000  -0.18
Ru1 0.750 0.750 0.750  1.11
Co1 0.375 0.375 0.375  1.57
Co2 0.375 0.375 0.876  1.57
Co3 0.876 0.375 0.375  1.57
Co4 0.375 0.876 0.375  1.57

=====

A plane-wave DFT calculation with PBEsol was carried out for a relaxed TbSi4B18C crystal.

## Properties
Formation energy (no corrections): -0.233 eV/atom
Crystal system: monoclinic
E: -7.06 eV per atom
Total moment: 0.00 μB per cell

Lattice parameters (Å, degrees): 7.867 7.897 7.897 101.65 101.54 78.46
Fractional positions:
Tb1 0.500 0.000 0.500
Tb2 0.500 0.500 0.000
Si1 0.428 0.429 0.571
Si2 0.572 0.571 0.429
Si3 0.255 0.268 0.345
Si4 0.662 0.264 0.736
Si5 0.255 0.655 0.732
Si6 0.745 0.732 0.655
Si7 0.338 0.736 0.264
Si8 0.745 0.345 0.268
B1 0.012 0.271 0.987
B2 0.012 0.013 0.729
B3 0.269 0.012 0.988
B4 0.988 0.729 0.013
B5 0.988 0.987 0.271
B6 0.731 0.988 0.012
B7 0.875 0.439 0.123
B8 0.875 0.877 0.561
B9 0.437 0.876 0.124
B10 0.125 0.561 0.877
B11 0.125 0.123 0.439
B12 0.563 0.124 0.876
B13 0.105 0.414 0.177
B14 0.827 0.108 0.585
B15 0.413 0.822 0.891
B16 0.413 0.109 0.178
B17 0.827 0.415 0.892
B18 0.105 0.823 0.586
B19 0.895 0.586 0.823
B20 0.173 0.892 0.415
B21 0.587 0.178 0.109
B22 0.587 0.891 0.822
B23 0.173 0.585 0.108
B24 0.895 0.177 0.414
B25 0.978 0.798 0.373
B26 0.628 0.981 0.199
B27 0.802 0.628 0.020
B28 0.802 0.980 0.372
B29 0.628 0.801 0.019
B30 0.978 0.627 0.202
B31 0.022 0.202 0.627
B32 0.372 0.019 0.801
B33 0.198 0.372 0.980
B34 0.198 0.020 0.628
B35 0.372 0.199 0.981
B36 0.022 0.373 0.798
C1 0.050 0.051 0.949
C2 0.950 0.949 0.051

=====

A plane-wave DFT calculation with PBEsol was carried out for a relaxed Mo2WSe6 crystal.

## Properties
Formation energy (no corrections): -0.669 eV/atom
Crystal system: trigonal
E: -7.39 eV per atom
Total moment: 0.00 μB per cell

Lattice parameters (Å, degrees): 3.268 3.268 20.476 90.00 90.00 120.00
Fractional positions:
Mo1 0.000 0.000 0.972
Mo2 0.667 0.333 0.653
W1 0.000 0.000 0.334
Se1 0.000 0.000 0.572
Se2 0.667 0.333 0.053
Se3 0.667 0.333 0.416
Se4 0.667 0.333 0.890
Se5 0.667 0.333 0.252
Se6 0.000 0.000 0.735

=====

A plane-wave DFT calculation with PBEsol was carried out for a relaxed Cr2Os2Pt crystal.

## Properties
Energy of formation: 0.52 eV/atom
Crystal system: tetragonal
E: -9.86 eV per atom
Total moment: 0.00 μB per cell
Density of states at the Fermi level: 4.0 states/eV per cell

Lattice parameters (Å, degrees): 3.804 3.804 5.696 109.51 109.51 90.00
Fractional positions:
Cr1 0.606 0.606 0.212
Cr2 0.394 0.394 0.788
Os1 0.250 0.750 0.500
Os2 0.750 0.250 0.500
Pt1 0.000 0.000 0.000

=====

A plane-wave DFT calculation with PBEsol was carried out for a relaxed LiScAl2 crystal.

## Properties
Energy of formation: -0.31 eV/atom
Crystal system: tetragonal
E: -4.50 eV per atom
Total moment: 0.00 μB per cell
Density of states at the Fermi level: 1.5 states/eV per cell

Lattice parameters (Å, degrees): 3.590 4.414 4.414 90.00 90.00 90.00
Fractional positions:
Sc1 0.500 0.500 0.500
Al1 0.000 0.500 0.000
Al2 0.000 0.000 0.500
Li1 0.500 0.000 0.000

=====

A plane-wave DFT calculation with PBEsol was carried out for a relaxed NdSmHg2 crystal.

## Properties
Energy of formation: -0.55 eV/atom
Crystal system: cubic
E: -3.40 eV per atom
Total moment: 0.77 μB per cell
Density of states at the Fermi level: 4.7 states/eV per cell

Lattice parameters (Å, degrees): 5.290 5.290 5.290 60.00 60.00 60.00
Site moments in Bohr magnetons follow the coordinates.
Fractional positions:
Nd1 0.500 0.500 0.500  0.18
Hg1 0.250 0.250 0.250  0.02
Hg2 0.750 0.750 0.750  0.02
Sm1 0.000 0.000 0.000  0.19

=====

A plane-wave DFT calculation with PBEsol was carried out for a relaxed InSbN2 crystal.

## Properties
Formation energy (no corrections): 0.450 eV/atom
Crystal system: tetragonal
E: -5.70 eV per atom
Total moment: 0.00 μB per cell
Density of states at the Fermi level: 3.0 states/eV per cell

Lattice parameters (Å, degrees): 5.053 5.053 6.362 113.40 113.40 90.00
Fractional positions:
Sb1 0.250 0.750 0.500
Sb2 0.000 0.000 0.000
N1 0.381 0.875 0.250
N2 0.869 0.375 0.250
N3 0.125 0.131 0.750
N4 0.625 0.619 0.750
In1 0.750 0.250 0.500
In2 0.500 0.500 0.000

=====

A plane-wave DFT calculation with PBEsol was carried out for a relaxed Ca2Mg3Cu2 crystal.

## Properties
Energy of formation: -0.06 eV/atom
Crystal system: orthorhombic
E: -2.64 eV per atom
Total moment: 0.00 μB per cell
Density of states at the Fermi level: 3.6 states/eV per cell

Lattice parameters (Å, degrees): 3.696 4.129 10.612 78.78 90.00 90.00
Fractional positions:
Ca1 0.000 0.172 0.656
Ca2 0.000 0.828 0.344
Cu1 0.500 0.284 0.433
Cu2 0.500 0.716 0.567
Mg1 0.500 0.423 0.154
Mg2 0.500 0.577 0.846
Mg3 0.000 0.000 0.000

=====

A plane-wave DFT calculation with PBEsol was carried out for a relaxed Li2Mn3WO8 crystal.

## Properties
Formation energy (no corrections): -1.789 eV/atom
Crystal system: trigonal
E: -8.15 eV per atom
Energy relative to the lowest polymorph listed for this composition: 0.0448 eV/atom
Total moment: 12.79 μB per cell
Density of states at the Fermi level: 7.7 states/eV per cell

Lattice parameters (Å, degrees): 5.920 5.920 6.059 60.76 60.76 60.00
Site moments in Bohr magnetons follow the coordinates.
Fractional positions:
Li1 0.134 0.134 0.598  0.00
Li2 0.866 0.866 0.402  0.00
Mn1 0.000 0.500 0.000  3.80
Mn2 0.500 0.500 0.000  3.80
Mn3 0.500 0.000 0.000  3.80
W1 0.500 0.500 0.500  0.29
O1 0.272 0.272 0.184  0.02
O2 0.728 0.728 0.816  0.02
O3 0.270 0.724 0.735  0.08
O4 0.270 0.270 0.735  0.08
O5 0.724 0.270 0.735  0.08
O6 0.276 0.730 0.265  0.08
O7 0.730 0.730 0.265  0.08
O8 0.730 0.276 0.265  0.08

=====

A plane-wave DFT calculation with PBEsol was carried out for a relaxed AlNiAu crystal.

## Properties
Energy of formation: -0.19 eV/atom
Crystal system: trigonal
E: -4.92 eV per atom
Total moment: 0.00 μB per cell
Density of states at the Fermi level: 1.5 states/eV per cell

Lattice parameters (Å, degrees): 2.833 2.833 6.087 90.00 90.00 120.00
Fractional positions:
Ni1 0.333 0.667 0.312
Au1 0.667 0.333 0.665
Al1 0.000 0.000 0.023

=====

A plane-wave DFT calculation with PBEsol was carried out for a relaxed Na2P2Au crystal.

## Properties
Energy of formation: 0.21 eV/atom
Crystal system: tetragonal
E: -3.45 eV per atom
Energy relative to the lowest polymorph listed for this composition: 0.5253 eV/atom
Total moment: 0.00 μB per cell
Density of states at the Fermi level: 2.1 states/eV per cell

Lattice parameters (Å, degrees): 4.108 4.108 6.437 108.61 108.61 90.00
Fractional positions:
P1 0.412 0.412 0.823
P2 0.588 0.588 0.177
Au1 0.000 0.000 0.000
Na1 0.250 0.750 0.500
Na2 0.750 0.250 0.500